[1]
Below is a geometry-optimized PtIO2F structure, with properties calculated at the GGA-PBEsol level.

Cell and atoms, written as POSCAR:
```
PtIO2F
1.0
-1.008 -1.886 3.519
1.956 -3.397 -1.261
3.625 1.420 1.799
Pt F O I
1 1 2 1
Direct
0.500 0.500 0.500
0.000 0.000 0.000
0.500 0.000 0.000
0.000 0.500 0.000
0.000 0.000 0.500
```

Properties
**ΔE_f (raw)**: 1.17 eV/atom
**Magnetization**: 3.9 μB/f.u.
**Density of states at the Fermi level**: 0.6247 states/eV/atom

[2]
Below is a geometry-optimized RbIO2F structure, with properties calculated at the GGA-PBEsol level.

Cell and atoms, written as POSCAR:
```
RbIO2F
1.0
4.193 0.000 0.000
0.000 5.016 0.000
0.000 0.000 5.016
O I F Rb
2 1 1 1
Direct
0.000 0.500 0.000
0.000 0.000 0.500
0.500 0.000 0.000
0.000 0.000 0.000
0.500 0.500 0.500
```

Properties
**ΔE_f (raw)**: 0.11 eV/atom
**Magnetization**: 3.0 μB/f.u.
**Density of states at the Fermi level**: 1.0428 states/eV/atom